Version one
Computed, not measured: a geometry-optimized K3NaSb structure at the PBE level of DFT.

Cell: 7.4136 8.8771 8.8936 Å, 65.82 66.51 66.45°
Space group P1 (No. 1)
Asymmetric unit:
K (0.0000, 0.0000, 0.0000)
K (0.0448, 0.0213, 0.4836)
K (0.0916, 0.5047, 0.5062)
K (0.4994, 0.2919, 0.7075)
K (0.5447, 0.7716, 0.7331)
K (0.5925, 0.7987, 0.2125)
Na (0.2941, 0.3955, 0.1085)
Na (0.7928, 0.3982, 0.1093)
Sb (0.0445, 0.6533, 0.8522)
Sb (0.5448, 0.1406, 0.3650)

Values from the calculation:
Spin magnetization = 1.34 Bohr magnetons per cell

Version two
Computed, not measured: a geometry-optimized K3NaSb structure at the PBE level of DFT.

Cell: 6.8020 6.8020 6.8020 Å, 90.00 90.00 90.00°
Space group Pm-3m (No. 221)
Asymmetric unit:
K (0.0000, 0.0000, 0.5000)
Na (0.5000, 0.5000, 0.5000)
Sb (0.0000, 0.0000, 0.0000)

Values from the calculation:
Spin magnetization = 0.96 Bohr magnetons per cell

Which of them is most stable? Easy: version one.

Version one
Computed, not measured: a geometry-optimized KNaSbTe2 structure at the PBE level of DFT.

Cell: 6.1503 6.1503 5.9380 Å, 90.00 90.00 90.00°
Space group P4/mmm (No. 123)
Asymmetric unit:
K (0.0000, 0.0000, 0.0000)
Na (0.5000, 0.5000, 0.5000)
Sb (0.0000, 0.0000, 0.5000)
Te (0.0000, 0.5000, 0.0000)

Values from the calculation:
Spin magnetization = 0.58 Bohr magnetons per cell

Version two
Computed, not measured: a geometry-optimized KNaSbTe2 structure at the PBE level of DFT.

Cell: 5.7569 5.7569 5.4872 Å, 90.00 90.00 90.00°
Space group P4/mmm (No. 123)
Asymmetric unit:
K (0.0000, 0.0000, 0.0000)
Na (0.5000, 0.5000, 0.5000)
Sb (0.5000, 0.5000, 0.0000)
Te (0.0000, 0.5000, 0.5000)

Values from the calculation:
Spin magnetization = 0.00 Bohr magnetons per cell

Version three
Computed, not measured: a geometry-optimized KNaSbTe2 structure at the PBE level of DFT.

Cell: 4.3782 4.8464 8.2480 Å, 90.00 90.09 90.00°
Space group P2/m (No. 10)
Asymmetric unit:
K (0.0000, 0.0000, 0.0000)
Na (0.5000, 0.0000, 0.5000)
Sb (0.0000, 0.5000, 0.5000)
Te (0.4992, 0.5000, 0.2357)

Values from the calculation:
Spin magnetization = 0.00 Bohr magnetons per cell

Which of them is most stable? Easy: version three.

Version one
Computed, not measured: a geometry-optimized KNa3Sc structure at the PBE level of DFT.

Cell: 6.4438 6.4438 6.4438 Å, 90.00 90.00 90.00°
Space group Pm-3m (No. 221)
Asymmetric unit:
K (0.0000, 0.0000, 0.0000)
Na (0.0000, 0.5000, 0.5000)
Sc (0.5000, 0.5000, 0.5000)

Values from the calculation:
Spin magnetization = 1.53 Bohr magnetons per cell

Version two
Computed, not measured: a geometry-optimized KNa3Sc structure at the PBE level of DFT.

Cell: 5.9109 5.9109 5.9109 Å, 90.00 90.00 90.00°
Space group Pm-3m (No. 221)
Asymmetric unit:
K (0.0000, 0.0000, 0.0000)
Na (0.0000, 0.0000, 0.5000)
Sc (0.5000, 0.5000, 0.5000)

Values from the calculation:
Spin magnetization = 1.07 Bohr magnetons per cell

Which of them is most stable? Easy: version one.

Version one
Computed, not measured: a geometry-optimized KNaSc3 structure at the PBE level of DFT.

Cell: 5.2950 5.2950 5.2950 Å, 90.00 90.00 90.00°
Space group Pm-3m (No. 221)
Asymmetric unit:
K (0.0000, 0.0000, 0.0000)
Na (0.5000, 0.5000, 0.5000)
Sc (0.0000, 0.0000, 0.5000)

Values from the calculation:
Spin magnetization = 0.00 Bohr magnetons per cell

Version two
Computed, not measured: a geometry-optimized KNaSc3 structure at the PBE level of DFT.

Cell: 5.5865 5.5865 5.5865 Å, 90.00 90.00 90.00°
Space group Pm-3m (No. 221)
Asymmetric unit:
K (0.0000, 0.0000, 0.0000)
Na (0.5000, 0.5000, 0.5000)
Sc (0.0000, 0.5000, 0.5000)

Values from the calculation:
Spin magnetization = 3.11 Bohr magnetons per cell

Which of them is most stable? Easy: version two.